Density functional theory data (PBE) for a geometry-optimized Sn3Hg structure.

Lattice parameters (Å, degrees): 6.8574 6.8574 5.3237 90.00 90.00 120.00
With the nearest neighbours (Å) after each atom.
Positions (direct):
Sn1 0.1661 0.3323 0.2500  8 Sn 3.31-3.44, 4 Hg 3.32-3.43
Sn2 0.6677 0.8339 0.2500  8 Sn 3.31-3.44, 4 Hg 3.32-3.43
Sn3 0.1661 0.8339 0.2500  8 Sn 3.31-3.44, 4 Hg 3.32-3.43
Sn4 0.8339 0.6677 0.7500  8 Sn 3.31-3.44, 4 Hg 3.32-3.43
Sn5 0.3323 0.1661 0.7500  8 Sn 3.31-3.44, 4 Hg 3.32-3.43
Sn6 0.8339 0.1661 0.7500  8 Sn 3.31-3.44, 4 Hg 3.32-3.43
Hg1 0.3333 0.6667 0.7500  12 Sn 3.32-3.43
Hg2 0.6667 0.3333 0.2500  12 Sn 3.32-3.43

Output
* D(E_F): 2.910 states/eV/cell
* crystal system: hexagonal
* calculated density: 8.5 Mg/m³
* formation energy: 8 kJ/mol of atoms